Below is crystalline ScIn2Mo at its relaxed geometry, with properties calculated at the PBE level.

Cell lengths 4.202, 4.202, 4.487 Å; angles 90.00, 90.00, 90.00 degrees
Positions (direct):
Sc 0.000 0.000 0.000
In 0.000 0.500 0.500
In 0.500 0.000 0.500
Mo 0.500 0.500 0.000

Output
Its formation energy from the elements is 0.011 eV per atom. The calculation puts the volume at 19.80 Å³/atom. Its symmetry is P4/mmm. As for the crystal system: tetragonal. The value obtained for the calculated total energy is -5.6491 eV/atom. The calculation puts the offset from the most stable computed form at 67 meV/atom.